(1)
First-principles (PBE) data for crystalline SrYTc2 at its relaxed geometry, as listed in Alexandria via LeMat-Bulk.

calculated formation energy = 0.861 eV per atom
calculated density = 7.3 g/cm3
total magnetic moment = 0.00 μB per atom

a b c (Å): 6.242 9.487 2.999
angles (deg): 90.00 107.95 90.00
Space group C2/m (No. 12)
Asymmetric unit:
Sr (0.000, 0.000, 0.000) [2 per cell]
Y (0.000, 0.500, 0.000) [2 per cell]
Tc (0.250, 0.250, 0.500) [4 per cell]

(2)
First-principles (PBE) data for crystalline Hf4FeRh at its relaxed geometry, as listed in Alexandria via LeMat-Bulk.

calculated formation energy = -0.220 eV per atom
calculated density = 11.7 g/cm3
total magnetic moment = 0.00 μB per atom

a b c (Å): 8.835 8.848 12.652
angles (deg): 90.00 90.00 90.00
Space group Fmmm (No. 69)
Asymmetric unit:
Hf (0.000, 0.249, 0.119) [16 per cell]
Hf (0.249, 0.000, 0.381) [16 per cell]
Fe (0.000, 0.000, 0.000) [4 per cell]
Fe (0.000, 0.000, 0.500) [4 per cell]
Rh (0.250, 0.250, 0.250) [8 per cell]

(3)
First-principles (PBE) data for crystalline Nd4MgHg3 at its relaxed geometry, as listed in Alexandria via LeMat-Bulk.

calculated formation energy = -0.379 eV per atom
calculated density = 8.8 g/cm3
total magnetic moment = 0.17 μB per atom

a b c (Å): 3.862 3.862 15.279
angles (deg): 90.00 90.00 90.00
Space group P4/mmm (No. 123)
Asymmetric unit:
Nd (0.000, 0.000, 0.124) [2 per cell]
Nd (0.000, 0.000, 0.373) [2 per cell]
Mg (0.500, 0.500, 0.500) [1 per cell]
Hg (0.500, 0.500, 0.000) [1 per cell]
Hg (0.500, 0.500, 0.254) [2 per cell]

(4)
First-principles (PBE) data for crystalline LiMg14B at its relaxed geometry, as listed in Alexandria via LeMat-Bulk.

calculated formation energy = 0.146 eV per atom
calculated density = 1.8 g/cm3
total magnetic moment = 0.00 μB per atom

a b c (Å): 9.724 6.541 10.666
angles (deg): 90.00 90.00 90.00
Space group Amm2 (No. 38)
Asymmetric unit:
Li (0.000, 0.000, 0.000) [2 per cell]
Mg (0.000, 0.250, 0.277) [4 per cell]
Mg (0.206, 0.226, 0.546) [8 per cell]
Mg (0.247, 0.000, 0.293) [4 per cell]
Mg (0.254, 0.000, 0.808) [4 per cell]
Mg (0.500, 0.000, 0.474) [2 per cell]
Mg (0.500, 0.000, 0.983) [2 per cell]
Mg (0.500, 0.247, 0.721) [4 per cell]
B (0.000, 0.000, 0.455) [2 per cell]

(5)
First-principles (PBE) data for crystalline PaAl11Pt at its relaxed geometry, as listed in Alexandria via LeMat-Bulk.

calculated formation energy = -0.246 eV per atom
calculated density = 5.4 g/cm3
total magnetic moment = 0.00 μB per atom

a b c (Å): 5.270 12.620 7.067
angles (deg): 90.00 109.73 90.00
Space group C2/m (No. 12)
Asymmetric unit:
Pa (0.000, 0.000, 0.000) [2 per cell]
Al (0.000, 0.000, 0.500) [2 per cell]
Al (0.107, 0.393, 0.217) [8 per cell]
Al (0.172, 0.176, 0.354) [8 per cell]
Al (0.250, 0.250, 0.000) [4 per cell]
Pt (0.000, 0.500, 0.500) [2 per cell]

(6)
First-principles (PBE) data for crystalline PuHf2V at its relaxed geometry, as listed in Alexandria via LeMat-Bulk.

calculated formation energy = 0.166 eV per atom
calculated density = 12.9 g/cm3
total magnetic moment = 1.85 μB per atom

a b c (Å): 3.220 3.220 8.107
angles (deg): 90.00 90.00 90.00
Space group P4/mmm (No. 123)
Asymmetric unit:
Pu (0.000, 0.000, 0.000) [1 per cell]
Hf (0.500, 0.500, 0.291) [2 per cell]
V (0.000, 0.000, 0.500) [1 per cell]

> Among the records above, which one has the highest calculated formation energy?

SrYTc2